[1]
# VCoCuPd2

A relaxed structure of VCoCuPd2 (PBE-GGA, the Alexandria database).

Calculated values
Total magnetic moment: 0.0 μB/cell
Energy relative to the elements: 1.194 eV per atom
Crystal system: tetragonal

a = 4.506 Å, b = 4.221 Å, c = 4.506 Å
α = 90.00°, β = 90.00°, γ = 90.00°
Last column: magnetic moment on the atom in μB.
Fractional positions:
Co 0.000 0.500 0.000  -0.03
Cu 0.000 0.000 0.000  0.03
Pd 0.000 0.000 0.500  0.06
Pd 0.500 0.000 0.000  0.07
V 0.500 0.500 0.500  -0.10

[2]
# ErPaIn

A relaxed structure of ErPaIn (PBE-GGA, the Alexandria database).

Calculated values
Total magnetic moment: 3.1 μB/cell
Energy relative to the elements: 0.293 eV per atom
Relative energy among the computed polymorphs: 344 meV/atom
Crystal system: orthorhombic

a = 4.983 Å, b = 5.824 Å, c = 6.245 Å
α = 90.00°, β = 90.00°, γ = 115.33°
Last column: magnetic moment on the atom in μB.
Fractional positions:
In 0.500 0.000 0.500  -0.01
In 0.500 0.000 0.000  -0.01
Er 0.091 0.182 0.250  0.26
Er 0.909 0.818 0.750  0.26
Pa 0.206 0.411 0.750  1.04
Pa 0.794 0.589 0.250  1.04

[3]
# Ba2MgAl4Zn3

A relaxed structure of Ba2MgAl4Zn3 (PBE-GGA, the Alexandria database).

Calculated values
Total magnetic moment: 0.0 μB/cell
Energy relative to the elements: -0.180 eV per atom
Crystal system: tetragonal

a = 4.567 Å, b = 4.567 Å, c = 11.459 Å
α = 90.00°, β = 90.00°, γ = 90.00°
Fractional positions:
Ba 0.500 0.000 0.244
Ba 0.000 0.500 0.756
Mg 0.500 0.500 0.500
Al 0.500 0.500 0.000
Al 0.000 0.000 0.000
Al 0.500 0.000 0.638
Al 0.000 0.500 0.362
Zn 0.000 0.000 0.500
Zn 0.500 0.000 0.874
Zn 0.000 0.500 0.126

[4]
# H6IrPb2

A relaxed structure of H6IrPb2 (PBE-GGA, the Alexandria database).

Calculated values
Total magnetic moment: 0.0 μB/cell
E: -0.1459 Ha/atom
Crystal system: monoclinic

a = 5.279 Å, b = 4.674 Å, c = 10.407 Å
α = 90.00°, β = 62.68°, γ = 90.00°
Fractional positions:
H 0.049 0.000 0.328
H 0.712 0.780 0.567
H 0.788 0.720 0.933
H 0.712 0.220 0.567
H 0.788 0.280 0.933
H 0.451 0.500 0.172
H 0.951 0.000 0.672
H 0.288 0.220 0.433
H 0.212 0.280 0.067
H 0.288 0.780 0.433
H 0.212 0.720 0.067
H 0.549 0.500 0.828
Ir 0.500 0.500 0.000
Ir 0.000 0.000 0.500
Pb 0.157 0.500 0.634
Pb 0.343 0.000 0.866
Pb 0.657 0.000 0.134
Pb 0.843 0.500 0.366

[5]
# KAlOs4

A relaxed structure of KAlOs4 (PBE-GGA, the Alexandria database).

Calculated values
Total magnetic moment: 0.0 μB/cell
Energy relative to the elements: 0.922 eV per atom
Crystal system: cubic

a = 5.280 Å, b = 5.280 Å, c = 5.280 Å
α = 60.00°, β = 60.00°, γ = 60.00°
Fractional positions:
K 0.000 0.000 0.000
Al 0.750 0.750 0.750
Os 0.873 0.376 0.376
Os 0.376 0.376 0.873
Os 0.376 0.873 0.376
Os 0.376 0.376 0.376

[6]
# AcNd4Dy6

A relaxed structure of AcNd4Dy6 (PBE-GGA, the Alexandria database).

Calculated values
Total magnetic moment: 0.0 μB/cell
Energy relative to the elements: 0.356 eV per atom
Crystal system: tetragonal

a = 8.629 Å, b = 8.629 Å, c = 8.629 Å
α = 78.92°, β = 126.59°, γ = 126.59°
Fractional positions:
Ac 0.000 0.000 0.000
Nd 0.000 0.566 0.052
Nd 0.487 0.434 0.434
Nd 0.000 0.052 0.566
Nd 0.513 0.948 0.948
Dy 0.000 0.738 0.417
Dy 0.000 0.417 0.738
Dy 0.321 0.583 0.583
Dy 0.500 0.500 0.000
Dy 0.679 0.262 0.262
Dy 0.500 0.000 0.500

[7]
# Li2HfI8

A relaxed structure of Li2HfI8 (PBE-GGA, the Alexandria database).

Calculated values
E_form (uncorrected): -0.803 eV/atom
Total magnetic moment: 0.0 μB/cell
Crystal system: monoclinic

a = 7.309 Å, b = 8.944 Å, c = 8.944 Å
α = 92.28°, β = 105.26°, γ = 105.26°
Fractional positions:
Li 0.315 0.816 0.816
Li 0.685 0.184 0.184
Hf 0.000 0.000 0.000
I 0.819 0.928 0.243
I 0.181 0.757 0.072
I 0.669 0.775 0.775
I 0.331 0.225 0.225
I 0.819 0.243 0.928
I 0.181 0.072 0.757
I 0.200 0.569 0.569
I 0.800 0.431 0.431

[8]
# SmIn2Ga

A relaxed structure of SmIn2Ga (PBE-GGA, the Alexandria database).

Calculated values
Total magnetic moment: 0.0 μB/cell
Energy relative to the elements: 0.111 eV per atom
Relative energy among the computed polymorphs: 576 meV/atom
Crystal system: trigonal

a = 3.416 Å, b = 3.416 Å, c = 11.178 Å
α = 81.21°, β = 81.21°, γ = 60.00°
Fractional positions:
Ga 0.500 0.500 0.500
Sm 0.000 0.000 0.000
In 0.097 0.097 0.710
In 0.903 0.903 0.290